[1]
# Sr4LiAu3

A relaxed Sr4LiAu3 crystal (PBE-GGA, the Alexandria database).

Lattice parameters (Å, degrees): 4.4570 4.6799 12.0000 90.00 90.00 90.00
Last column: nearest neighbours and their distance in Å.
Atoms (fractional coordinates):
Sr  0.0000  0.0000  0.0000  6 Au 3.29-3.35
Sr  0.0000  0.5000  0.2674  7 Au 3.31-3.59
Sr  0.5000  0.0000  0.4799  5 Au 3.25-3.39, 2 Li 3.30
Sr  0.5000  0.5000  0.7734  3 Au 3.32-3.34, 4 Li 3.41
Li  0.0000  0.0000  0.6825  2 Au 2.72
Au  0.0000  0.5000  0.5664  2 Li 2.72
Au  0.5000  0.0000  0.2089  2 Au 3.02, 7 Sr 3.25-3.35
Au  0.5000  0.5000  0.0503  2 Au 3.02, 5 Sr 3.29-3.32

ΔE_f = -469.4 kJ/mol of formula units
Calculated density = 6291 kg/m3

=====

[2]
# MnPOs2

A relaxed MnPOs2 crystal (PBE-GGA, the Alexandria database).

Lattice parameters (Å, degrees): 2.9206 2.9206 6.2196 90.00 90.00 90.00
Last column: nearest neighbours and their distance in Å.
Atoms (fractional coordinates):
Mn  0.0000  0.0000  0.0000  8 Os 2.68, 4 Mn 2.92
P  0.0000  0.0000  0.5000  8 Os 2.50
Os  0.5000  0.5000  0.2738  4 P 2.50, 4 Mn 2.68
Os  0.5000  0.5000  0.7262  4 P 2.50, 4 Mn 2.68

ΔE_f = 21.2 kJ/mol of formula units
Calculated density = 14597 kg/m3

=====

[3]
# Cs3Tb3HoSe8

A relaxed Cs3Tb3HoSe8 crystal (PBE-GGA, the Alexandria database).

Lattice parameters (Å, degrees): 8.4024 8.4024 9.8514 115.30 115.30 59.98
Last column: nearest neighbours and their distance in Å.
Atoms (fractional coordinates):
Cs  0.0000  0.0000  0.0000  6 Se 3.62-3.64
Cs  0.0000  0.5000  0.0000  6 Se 3.62-3.63
Cs  0.5000  0.0000  0.0000  6 Se 3.62-3.63
Tb  0.0000  0.5000  0.5000  6 Se 2.90
Tb  0.5000  0.0000  0.5000  6 Se 2.90
Tb  0.5000  0.5000  0.5000  6 Se 2.90
Ho  0.0000  0.0000  0.5000  6 Se 2.88
Se  0.2272  0.2272  0.6837  1 Ho 2.88, 2 Tb 2.90
Se  0.2273  0.7297  0.6836  1 Ho 2.88, 2 Tb 2.90
Se  0.2703  0.7727  0.3164  1 Ho 2.88, 2 Tb 2.90
Se  0.2711  0.2711  0.3139  3 Tb 2.90
Se  0.7289  0.7289  0.6861  3 Tb 2.90
Se  0.7297  0.2273  0.6836  1 Ho 2.88, 2 Tb 2.90
Se  0.7727  0.2703  0.3164  1 Ho 2.88, 2 Tb 2.90
Se  0.7728  0.7728  0.3163  1 Ho 2.88, 2 Tb 2.90

Calculated total energy = -4.93 eV per atom
Calculated density = 5300 kg/m3